1.
The following is a PBE calculation of a geometry-optimized KGe2Cl6 structure, from the Alexandria database.

Values from the calculation:
- raw formation energy (kJ per mole of atoms) = -101
- space group = No. 12
- calculated volume (Å³ per atom) = 32.395

Cell: 6.8655 6.8655 10.3828 Å, 114.30 114.30 41.57°
Fractional coordinates of all 9 atoms:
K: 0.0000 0.0000 0.0000
Ge: 0.1843 0.1843 0.6674
Ge: 0.8157 0.8157 0.3326
Cl: 0.0197 0.0197 0.6980
Cl: 0.3030 0.3030 0.3818
Cl: 0.3205 0.3205 0.9057
Cl: 0.6795 0.6795 0.0943
Cl: 0.6970 0.6970 0.6182
Cl: 0.9803 0.9803 0.3020

2.
The following is a PBE calculation of a geometry-optimized KSc4O6 structure, from the Alexandria database.

Values from the calculation:
- raw formation energy (kJ per mole of atoms) = -299
- space group = No. 63
- calculated volume (Å³ per atom) = 12.713

Cell: 5.5250 5.5250 16.7660 Å, 90.00 90.00 146.87°
Fractional coordinates of all 22 atoms:
K: 0.1438 0.8562 0.7500
K: 0.8562 0.1438 0.2500
Sc: 0.1060 0.8940 0.1375
Sc: 0.1060 0.8940 0.3625
Sc: 0.3715 0.6285 0.0432
Sc: 0.3715 0.6285 0.4568
Sc: 0.6285 0.3715 0.5432
Sc: 0.6285 0.3715 0.9568
Sc: 0.8940 0.1060 0.6375
Sc: 0.8940 0.1060 0.8625
O: 0.0000 0.0000 0.0000
O: 0.0000 0.0000 0.5000
O: 0.1589 0.8411 0.2500
O: 0.2726 0.7274 0.5767
O: 0.2726 0.7274 0.9233
O: 0.4775 0.5225 0.1431
O: 0.4775 0.5225 0.3569
O: 0.5225 0.4775 0.6431
O: 0.5225 0.4775 0.8569
O: 0.7274 0.2726 0.0767
O: 0.7274 0.2726 0.4233
O: 0.8411 0.1589 0.7500

3.
The following is a PBE calculation of a geometry-optimized NiHgRh2N structure, from the Alexandria database.

Values from the calculation:
- raw formation energy (kJ per mole of atoms) = 13
- space group = No. 123
- calculated volume (Å³ per atom) = 13.383

Cell: 4.1577 4.1577 3.8708 Å, 90.00 90.00 90.00°
Fractional coordinates of all 5 atoms:
Ni: 0.0000 0.0000 0.0000
Hg: 0.5000 0.5000 0.0000
Rh: 0.0000 0.5000 0.5000
Rh: 0.5000 0.0000 0.5000
N: 0.0000 0.0000 0.5000

4.
The following is a PBE calculation of a geometry-optimized La2AlCuH structure, from the Alexandria database.

Values from the calculation:
- space group = No. 123
- calculated volume (Å³ per atom) = 21.234
- total DFT energy (no corrections) (eV/atom) = -4.408

Cell: 5.1746 5.1746 3.9649 Å, 90.00 90.00 90.00°
Fractional coordinates of all 5 atoms:
La: 0.0000 0.5000 0.0000
La: 0.5000 0.0000 0.0000
Al: 0.0000 0.0000 0.5000
Cu: 0.5000 0.5000 0.5000
H: 0.0000 0.0000 0.0000

Please write out number 4 again, unchanged.
The following is a PBE calculation of a geometry-optimized La2AlCuH structure, from the Alexandria database.

Values from the calculation:
- space group = No. 123
- calculated volume (Å³ per atom) = 21.234
- total DFT energy (no corrections) (eV/atom) = -4.408

Cell: 5.1746 5.1746 3.9649 Å, 90.00 90.00 90.00°
Fractional coordinates of all 5 atoms:
La: 0.0000 0.5000 0.0000
La: 0.5000 0.0000 0.0000
Al: 0.0000 0.0000 0.5000
Cu: 0.5000 0.5000 0.5000
H: 0.0000 0.0000 0.0000